ZrTe2Au, optimized geometry, DFT PBE-GGA; space-group type = C2/m (12); polymorph energy (0 for the lowest one) = 0.212 eV per atom; crystal system = monoclinic
1.0
6.814 -1.898 0.000
6.814 1.898 0.000
-0.697 0.000 4.674
Zr Te Au
1 2 1
direct
0.000 0.000 0.000
0.343 0.343 0.811
0.657 0.657 0.189
0.500 0.500 0.500

***

ZrTeAu2, optimized geometry, DFT PBE-GGA; space-group type = Cm (8); crystal system = monoclinic
1.0
4.140 -1.911 0.000
4.140 1.911 0.000
-0.198 0.000 6.773
Zr Te Au
1 1 2
direct
0.000 0.000 0.000
0.673 0.673 0.751
0.303 0.303 0.174
0.604 0.604 0.350

***

ZrTe4Au, optimized geometry, DFT PBE-GGA; space-group type = P2_1/c (14); polymorph energy (0 for the lowest one) = 0.000 eV per atom; crystal system = monoclinic
1.0
6.945 0.000 0.000
0.000 6.973 0.000
-0.475 0.000 7.274
Zr Te Au
2 8 2
direct
0.000 0.000 0.000
0.000 0.500 0.500
0.121 0.135 0.363
0.121 0.365 0.863
0.378 0.624 0.388
0.378 0.876 0.888
0.622 0.124 0.112
0.622 0.376 0.612
0.879 0.635 0.137
0.879 0.865 0.637
0.500 0.000 0.500
0.500 0.500 0.000

***

ZrTe2Au, optimized geometry, DFT PBE-GGA; space-group type = P2_1/c (14); polymorph energy (0 for the lowest one) = 0.035 eV per atom; crystal system = monoclinic
1.0
8.489 0.000 0.000
0.000 7.719 0.000
-3.752 0.000 7.711
Zr Te Au
4 8 4
direct
0.048 0.049 0.310
0.048 0.451 0.810
0.952 0.549 0.190
0.952 0.951 0.690
0.226 0.164 0.685
0.226 0.336 0.185
0.303 0.720 0.892
0.303 0.780 0.392
0.697 0.220 0.608
0.697 0.280 0.108
0.774 0.664 0.815
0.774 0.836 0.315
0.089 0.657 0.546
0.089 0.843 0.046
0.911 0.157 0.954
0.911 0.343 0.454

***

ZrTeAu2, optimized geometry, DFT PBE-GGA; space-group type = I-42d (122); crystal system = tetragonal
1.0
-3.978 3.978 2.840
3.978 -3.978 2.840
3.978 3.978 -2.840
Zr Te Au
2 2 4
direct
0.000 0.000 0.000
0.750 0.250 0.500
0.250 0.750 0.500
0.500 0.500 0.000
0.123 0.625 0.998
0.375 0.373 0.498
0.627 0.125 0.002
0.875 0.877 0.502

***

ZrTeAu2, optimized geometry, DFT PBE-GGA; space-group type = C2/m (12); crystal system = monoclinic
1.0
5.077 -1.838 0.000
5.077 1.838 0.000
-1.282 0.000 4.562
Zr Te Au
1 1 2
direct
0.000 0.000 0.000
0.500 0.500 0.500
0.258 0.258 0.763
0.742 0.742 0.237

***

ZrTe3Au, optimized geometry, DFT PBE-GGA; space-group type = Pm-3m (221); polymorph energy (0 for the lowest one) = 0.624 eV per atom; crystal system = cubic
1.0
5.560 0.000 0.000
0.000 5.560 0.000
0.000 0.000 5.560
Zr Te Au
1 3 1
direct
0.000 0.000 0.000
0.000 0.000 0.500
0.000 0.500 0.000
0.500 0.000 0.000
0.500 0.500 0.500

***

ZrTeAu2, optimized geometry, DFT PBE-GGA; space-group type = Pm (6); crystal system = monoclinic
1.0
3.681 0.000 0.000
0.000 3.678 0.000
-0.008 0.000 6.332
Zr Te Au
1 1 2
direct
0.000 0.000 0.000
0.501 0.500 0.222
0.499 0.500 0.734
0.999 0.000 0.541

***

ZrTe2Au, optimized geometry, DFT PBE-GGA; space-group type = P2/m (10); polymorph energy (0 for the lowest one) = 0.613 eV per atom; crystal system = monoclinic
1.0
3.307 0.000 0.000
0.000 5.196 0.000
-0.710 0.000 5.625
Zr Te Au
1 2 1
direct
0.000 0.000 0.000
0.218 0.500 0.755
0.782 0.500 0.245
0.500 0.000 0.500

***

ZrTe4Au, optimized geometry, DFT PBE-GGA; space-group type = F-43m (216); polymorph energy (0 for the lowest one) = 0.886 eV per atom; crystal system = cubic
1.0
0.000 4.375 4.375
4.375 0.000 4.375
4.375 4.375 0.000
Zr Te Au
1 4 1
direct
0.000 0.000 0.000
0.375 0.375 0.375
0.375 0.375 0.875
0.375 0.875 0.375
0.875 0.375 0.375
0.750 0.750 0.750

***

ZrTeAu2, optimized geometry, DFT PBE-GGA; space-group type = R3m (160); crystal system = trigonal
1.0
2.109 1.218 6.271
-2.109 1.218 6.271
0.000 -2.436 6.271
Zr Te Au
1 1 2
direct
0.000 0.000 0.000
0.236 0.236 0.236
0.472 0.472 0.472
0.731 0.731 0.731

***

ZrTe3Au2, optimized geometry, DFT PBE-GGA; space-group type = P2_1/m (11); crystal system = monoclinic
1.0
8.059 0.000 0.000
0.000 4.102 0.000
-2.892 0.000 10.665
Zr Te Au
2 6 4
direct
0.225 0.250 0.208
0.775 0.750 0.792
0.053 0.750 0.332
0.303 0.750 0.026
0.419 0.750 0.679
0.581 0.250 0.321
0.697 0.250 0.974
0.947 0.250 0.668
0.062 0.250 0.927
0.407 0.750 0.410
0.593 0.250 0.590
0.938 0.750 0.073

***

ZrTe2Au, optimized geometry, DFT PBE-GGA; space-group type = P4/mmm (123); polymorph energy (0 for the lowest one) = 0.196 eV per atom; crystal system = tetragonal
1.0
3.723 0.000 0.000
0.000 3.723 0.000
0.000 0.000 6.691
Zr Te Au
1 2 1
direct
0.000 0.000 0.000
0.500 0.500 0.237
0.500 0.500 0.763
0.000 0.000 0.500

***

ZrTeAu2, optimized geometry, DFT PBE-GGA; space-group type = P2/m (10); crystal system = monoclinic
1.0
3.839 0.000 0.000
0.000 3.863 0.000
-0.136 0.000 5.817
Zr Te Au
1 1 2
direct
0.000 0.000 0.000
0.000 0.000 0.500
0.474 0.500 0.765
0.526 0.500 0.235

***

ZrTe2Au, optimized geometry, DFT PBE-GGA; space-group type = P4mm (99); polymorph energy (0 for the lowest one) = 0.146 eV per atom; crystal system = tetragonal
1.0
3.867 0.000 0.000
0.000 3.867 0.000
0.000 0.000 7.058
Zr Te Au
1 2 1
direct
0.000 0.000 0.000
0.000 0.000 0.391
0.500 0.500 0.828
0.500 0.500 0.242

***

ZrTe2Au, optimized geometry, DFT PBE-GGA; space-group type = R-3m (166); polymorph energy (0 for the lowest one) = 0.225 eV per atom; crystal system = trigonal
1.0
1.952 1.127 7.815
-1.952 1.127 7.815
0.000 -2.254 7.815
Zr Te Au
1 2 1
direct
0.000 0.000 0.000
0.252 0.252 0.252
0.748 0.748 0.748
0.500 0.500 0.500

***

ZrTe6Au2, optimized geometry, DFT PBE-GGA; space-group type = C2/c (15); crystal system = monoclinic
1.0
7.577 -5.216 0.000
7.577 5.216 0.000
-2.877 0.000 7.358
Zr Te Au
2 12 4
direct
0.144 0.856 0.750
0.856 0.144 0.250
0.001 0.640 0.797
0.002 0.184 0.657
0.184 0.002 0.157
0.334 0.513 0.584
0.360 0.999 0.703
0.487 0.666 0.916
0.513 0.334 0.084
0.640 0.001 0.297
0.666 0.487 0.416
0.816 0.998 0.843
0.998 0.816 0.343
0.999 0.360 0.203
0.215 0.331 0.680
0.331 0.215 0.180
0.669 0.785 0.820
0.785 0.669 0.320

***

ZrTe4Au2, optimized geometry, DFT PBE-GGA; space-group type = P1 (1); crystal system = triclinic
1.0
8.237 0.000 0.000
-2.928 7.704 0.000
-1.220 -4.839 6.572
Zr Te Au
2 8 4
direct
0.000 0.000 0.000
0.078 0.500 0.578
0.215 0.207 0.417
0.241 0.766 0.008
0.336 0.282 0.995
0.365 0.782 0.525
0.713 0.660 0.995
0.744 0.160 0.526
0.836 0.267 0.104
0.866 0.706 0.570
0.039 0.321 0.861
0.491 0.214 0.705
0.538 0.822 0.861
0.587 0.714 0.301

***

ZrTe6Au, optimized geometry, DFT PBE-GGA; space-group type = R-3 (148); crystal system = trigonal
1.0
3.582 2.068 5.377
-3.582 2.068 5.377
0.000 -4.136 5.377
Zr Te Au
1 6 1
direct
0.000 0.000 0.000
0.051 0.452 0.733
0.267 0.949 0.548
0.452 0.733 0.051
0.548 0.267 0.949
0.733 0.051 0.452
0.949 0.548 0.267
0.500 0.500 0.500

***

ZrTe2Au, optimized geometry, DFT PBE-GGA; space-group type = F-43m (216); polymorph energy (0 for the lowest one) = 0.558 eV per atom; crystal system = cubic
1.0
0.000 3.631 3.631
3.631 0.000 3.631
3.631 3.631 0.000
Zr Te Au
1 2 1
direct
0.000 0.000 0.000
0.500 0.500 0.500
0.750 0.750 0.750
0.250 0.250 0.250

***

Number 1: size of the total moment 0.0 μB/f.u., E_form (uncorrected) -0.389 eV per atom. Number 2: size of the total moment 0.0 μB/f.u., E_form (uncorrected) -0.362 eV per atom. Number 3: size of the total moment 0.0 μB/f.u., E_form (uncorrected) -0.319 eV per atom. Number 4: size of the total moment 0.0 μB/f.u., E_form (uncorrected) -0.566 eV per atom. Number 5: size of the total moment 0.0 μB/f.u., E_form (uncorrected) -0.301 eV per atom. Number 6: size of the total moment 0.0 μB/f.u., E_form (uncorrected) -0.250 eV per atom. Number 7: size of the total moment 0.0 μB/f.u., E_form (uncorrected) 0.182 eV per atom. Number 8: size of the total moment 0.0 μB/f.u., E_form (uncorrected) -0.359 eV per atom. Number 9: size of the total moment 0.0 μB/f.u., E_form (uncorrected) 0.012 eV per atom. Number 10: size of the total moment 1.1 μB/f.u., E_form (uncorrected) 0.567 eV per atom. Number 11: size of the total moment 0.0 μB/f.u., E_form (uncorrected) -0.328 eV per atom. Number 12: size of the total moment 0.0 μB/f.u., E_form (uncorrected) -0.467 eV per atom. Number 13: size of the total moment 0.0 μB/f.u., E_form (uncorrected) -0.405 eV per atom. Number 14: size of the total moment 0.0 μB/f.u., E_form (uncorrected) -0.257 eV per atom. Number 15: size of the total moment 0.0 μB/f.u., E_form (uncorrected) -0.455 eV per atom. Number 16: size of the total moment 0.0 μB/f.u., E_form (uncorrected) -0.376 eV per atom. Number 17: size of the total moment 0.0 μB/f.u., E_form (uncorrected) -0.238 eV per atom. Number 18: size of the total moment 0.0 μB/f.u., E_form (uncorrected) -0.321 eV per atom. Number 19: size of the total moment 0.0 μB/f.u., E_form (uncorrected) -0.138 eV per atom. Number 20: size of the total moment 0.0 μB/f.u., E_form (uncorrected) -0.043 eV per atom.